w | # Mo2PdW

A geometry-optimized Mo2PdW structure (PBE-GGA, Alexandria).

a b c (Å): 4.4834 4.4834 4.4834
angles (deg): 60.00 60.00 60.00
Last column: nearest neighbours and their distance in Å.
Element x y z (fractional)
Mo 0.2500 0.2500 0.2500  4 W 2.75, 4 Pd 2.75
Mo 0.7500 0.7500 0.7500  4 W 2.75, 4 Pd 2.75
Pd 0.0000 0.0000 0.0000  8 Mo 2.75
W 0.5000 0.5000 0.5000  8 Mo 2.75

x | # Mo2PdW

A geometry-optimized Mo2PdW structure (PBE-GGA, Alexandria).

a b c (Å): 3.9596 3.9596 3.9924
angles (deg): 90.00 90.00 90.00
Last column: nearest neighbours and their distance in Å.
Element x y z (fractional)
Mo 0.0000 0.5000 0.0000  4 Mo 2.80, 4 W 2.81, 4 Pd 2.81
Mo 0.5000 0.0000 0.0000  4 Mo 2.80, 4 W 2.81, 4 Pd 2.81
Pd 0.0000 0.0000 0.5000  4 W 2.80, 8 Mo 2.81
W 0.5000 0.5000 0.5000  4 Pd 2.80, 8 Mo 2.81

y | # Mo2PdW

A geometry-optimized Mo2PdW structure (PBE-GGA, Alexandria).

a b c (Å): 9.8853 9.8853 9.8853
angles (deg): 157.89 157.89 31.47
Last column: nearest neighbours and their distance in Å.
Element x y z (fractional)
Mo 0.1068 0.6250 0.9818  4 Mo 2.59-2.78, 2 W 2.71, 2 Pd 2.76
Mo 0.3750 0.3568 0.4818  4 Mo 2.59-2.78, 2 W 2.71, 2 Pd 2.76
Mo 0.6432 0.1250 0.0182  4 Mo 2.59-2.78, 2 W 2.71, 2 Pd 2.76
Mo 0.8750 0.8932 0.5182  4 Mo 2.59-2.78, 2 W 2.71, 2 Pd 2.76
Pd 0.2500 0.7500 0.5000  4 W 2.68, 4 Mo 2.76
Pd 0.5000 0.5000 0.0000  4 W 2.68, 4 Mo 2.76
W 0.0000 0.0000 0.0000  4 Pd 2.68, 4 Mo 2.71
W 0.7500 0.2500 0.5000  4 Pd 2.68, 4 Mo 2.71

Of them, the most stable is x and the least stable is y.

w | # YMo2Pd

A geometry-optimized YMo2Pd structure (PBE-GGA, Alexandria).

a b c (Å): 6.1491 6.1491 6.1491
angles (deg): 100.08 100.08 130.54
Last column: nearest neighbours and their distance in Å.
Element x y z (fractional)
Y 0.0000 0.0000 0.0000  2 Pd 2.57
Y 0.7500 0.2500 0.5000  2 Pd 2.57
Mo 0.1647 0.6250 0.0397  2 Mo 2.65, 2 Pd 2.66
Mo 0.3750 0.4147 0.5397  2 Mo 2.65, 2 Pd 2.66
Mo 0.5853 0.1250 0.9603  2 Mo 2.65, 2 Pd 2.66
Mo 0.8750 0.8353 0.4603  2 Mo 2.65, 2 Pd 2.66
Pd 0.2500 0.7500 0.5000  2 Y 2.57, 4 Mo 2.66
Pd 0.5000 0.5000 0.0000  2 Y 2.57, 4 Mo 2.66

x | # YMo2Pd

A geometry-optimized YMo2Pd structure (PBE-GGA, Alexandria).

a b c (Å): 4.6522 4.6522 4.6522
angles (deg): 60.00 60.00 60.00
Last column: nearest neighbours and their distance in Å.
Element x y z (fractional)
Y 0.0000 0.0000 0.0000  8 Mo 2.85
Mo 0.2500 0.2500 0.2500  4 Pd 2.85, 4 Y 2.85
Mo 0.7500 0.7500 0.7500  4 Pd 2.85, 4 Y 2.85
Pd 0.5000 0.5000 0.5000  8 Mo 2.85

Of them, the most stable is w and the least stable is x.

w | # YMo3Pd

A geometry-optimized YMo3Pd structure (PBE-GGA, Alexandria).

a b c (Å): 4.7429 4.7429 4.7429
angles (deg): 90.00 90.00 90.00
Last column: nearest neighbours and their distance in Å.
Element x y z (fractional)
Y 0.0000 0.0000 0.0000  6 Mo 2.37
Mo 0.0000 0.0000 0.5000  2 Y 2.37
Mo 0.0000 0.5000 0.0000  2 Y 2.37
Mo 0.5000 0.0000 0.0000  2 Y 2.37
Pd 0.5000 0.5000 0.5000  12 Mo 3.35

x | # YMo3Pd

A geometry-optimized YMo3Pd structure (PBE-GGA, Alexandria).

a b c (Å): 4.8124 4.8124 4.8124
angles (deg): 90.00 90.00 90.00
Last column: nearest neighbours and their distance in Å.
Element x y z (fractional)
Y 0.0000 0.0000 0.0000  12 Mo 3.40
Mo 0.0000 0.5000 0.5000  2 Pd 2.41
Mo 0.5000 0.0000 0.5000  2 Pd 2.41
Mo 0.5000 0.5000 0.0000  2 Pd 2.41
Pd 0.5000 0.5000 0.5000  6 Mo 2.41

Of them, the most stable is x and the least stable is w.

w | # Y2MoPd

A geometry-optimized Y2MoPd structure (PBE-GGA, Alexandria).

a b c (Å): 4.9578 4.9578 4.9578
angles (deg): 60.00 60.00 60.00
Last column: nearest neighbours and their distance in Å.
Element x y z (fractional)
Y 0.2500 0.2500 0.2500  4 Pd 3.04, 4 Mo 3.04
Y 0.7500 0.7500 0.7500  4 Mo 3.04, 4 Pd 3.04
Mo 0.0000 0.0000 0.0000  8 Y 3.04
Pd 0.5000 0.5000 0.5000  8 Y 3.04

x | # Y2MoPd

A geometry-optimized Y2MoPd structure (PBE-GGA, Alexandria).

a b c (Å): 6.2889 6.2889 6.2889
angles (deg): 104.57 104.57 119.80
Last column: nearest neighbours and their distance in Å.
Element x y z (fractional)
Y 0.1052 0.6250 0.9802  2 Pd 2.73, 2 Mo 2.94
Y 0.3750 0.3552 0.4802  2 Pd 2.73, 2 Mo 2.94
Y 0.6448 0.1250 0.0198  2 Pd 2.73, 2 Mo 2.94
Y 0.8750 0.8948 0.5198  2 Pd 2.73, 2 Mo 2.94
Mo 0.2500 0.7500 0.5000  4 Y 2.94, 2 Pd 3.15
Mo 0.5000 0.5000 0.0000  4 Y 2.94, 2 Pd 3.15
Pd 0.0000 0.0000 0.0000  4 Y 2.73
Pd 0.7500 0.2500 0.5000  4 Y 2.73

Of them, the most stable is w and the least stable is x.

w | # ZnMoPd3

A geometry-optimized ZnMoPd3 structure (PBE-GGA, Alexandria).

a b c (Å): 4.8069 4.8069 4.8069
angles (deg): 90.00 90.00 90.00
Last column: nearest neighbours and their distance in Å.
Element x y z (fractional)
Zn 0.0000 0.0000 0.0000  12 Pd 3.40
Mo 0.5000 0.5000 0.5000  6 Pd 2.40
Pd 0.0000 0.5000 0.5000  2 Mo 2.40
Pd 0.5000 0.0000 0.5000  2 Mo 2.40
Pd 0.5000 0.5000 0.0000  2 Mo 2.40

x | # ZnMoPd3

A geometry-optimized ZnMoPd3 structure (PBE-GGA, Alexandria).

a b c (Å): 4.5733 4.5733 4.5733
angles (deg): 90.00 90.00 90.00
Last column: nearest neighbours and their distance in Å.
Element x y z (fractional)
Zn 0.0000 0.0000 0.0000  6 Pd 2.29
Mo 0.5000 0.5000 0.5000  12 Pd 3.23
Pd 0.0000 0.0000 0.5000  2 Zn 2.29
Pd 0.0000 0.5000 0.0000  2 Zn 2.29
Pd 0.5000 0.0000 0.0000  2 Zn 2.29

Of them, the most stable is x and the least stable is w.

w | # PmSiMo

A geometry-optimized PmSiMo structure (PBE-GGA, Alexandria).

a b c (Å): 6.4210 6.4210 5.6651
angles (deg): 101.38 101.38 35.53
Last column: nearest neighbours and their distance in Å.
Element x y z (fractional)
Pm 0.1004 0.1004 0.3213  4 Si 2.99-3.10, 4 Mo 3.11-3.34
Pm 0.8996 0.8996 0.6787  4 Si 2.99-3.10, 4 Mo 3.11-3.34
Si 0.4219 0.4219 0.1108  1 Si 2.49, 3 Mo 2.59-2.63
Si 0.5781 0.5781 0.8892  1 Si 2.49, 3 Mo 2.59-2.63
Mo 0.2138 0.2138 0.8670  2 Mo 2.52, 3 Si 2.59-2.63
Mo 0.7862 0.7862 0.1330  2 Mo 2.52, 3 Si 2.59-2.63

x | # PmSiMo

A geometry-optimized PmSiMo structure (PBE-GGA, Alexandria).

a b c (Å): 3.9445 3.9445 7.9228
angles (deg): 90.00 90.00 90.00
Last column: nearest neighbours and their distance in Å.
Element x y z (fractional)
Pm 0.2500 0.2500 0.1470  4 Si 2.98
Pm 0.7500 0.7500 0.8530  4 Si 2.98
Si 0.2500 0.2500 0.7192  4 Mo 2.63
Si 0.7500 0.7500 0.2808  4 Mo 2.63
Mo 0.2500 0.7500 0.5000  4 Si 2.63, 4 Mo 2.79
Mo 0.7500 0.2500 0.5000  4 Si 2.63, 4 Mo 2.79

Of them, the most stable is x and the least stable is w.